BaSrY2Pd after structural relaxation. Source: Alexandria, functional PBE-GGA.

Summary:
VASP energy, eV/atom: -4.5330
Distance to the lowest polymorph of the same formula, kJ/mol of atoms: 0.0
Space-group type: No. 123
Magnetization, μB/cell: 0.00
D(E_F), states/eV/f.u.: 5.04

a = 5.610 Å, b = 5.610 Å, c = 6.158 Å
α = 90.00°, β = 90.00°, γ = 90.00°
Positions (direct):
Pd  0.000  0.000  0.000
Ba  0.500  0.500  0.500
Sr  0.000  0.000  0.500
Y  0.000  0.500  0.000
Y  0.500  0.000  0.000